[1]
Compound: FeIrRh4
Source: Alexandria via LeMat-Bulk
Functional: PBE-GGA
Structure: optimized geometry

Crystal system: monoclinic
Energy relative to the lowest polymorph listed for this composition, meV/atom: 159.1
ΔE_f, eV/atom: 0.15

abc: 4.433 4.511 5.843
angles: 96.57 67.71 60.57
Each line ends with the local moment (μB).
Fractional coordinates of all 6 atoms:
Ir  0.000  0.000  0.000  0.10
Rh  0.402  0.292  0.904  0.03
Rh  0.598  0.708  0.096  0.03
Rh  0.098  0.214  0.591  0.09
Rh  0.902  0.786  0.409  0.09
Fe  0.500  0.500  0.500  2.88


[2]
Compound: LiZnF2
Source: Alexandria via LeMat-Bulk
Functional: PBE-GGA
Structure: optimized geometry

Crystal system: cubic
E_form (uncorrected), meV/atom: -1676
Energy relative to the lowest polymorph listed for this composition, meV/atom: 416.1

abc: 4.032 4.032 4.032
angles: 60.00 60.00 60.00
Fractional coordinates of all 4 atoms:
Zn  0.500  0.500  0.500
F  0.750  0.750  0.750
F  0.250  0.250  0.250
Li  0.000  0.000  0.000


[3]
Compound: Sr4AsS2I
Source: Alexandria via LeMat-Bulk
Functional: PBE-GGA
Structure: optimized geometry

Crystal system: monoclinic
E_form (uncorrected), meV/atom: -1721

abc: 4.464 7.713 7.745
angles: 71.41 90.00 90.00
Fractional coordinates of all 8 atoms:
Sr  0.500  0.758  0.266
Sr  0.500  0.242  0.734
Sr  0.000  0.776  0.719
Sr  0.000  0.224  0.281
As  0.000  0.500  0.500
I  0.500  0.500  0.000
S  0.500  0.000  0.500
S  0.000  0.000  0.000